Here is crystalline V2OF4 at its relaxed geometry from Alexandria via LeMat-Bulk. Energies are from GGA+U.

Properties
The offset from the most stable computed form comes out at 48 meV/atom. For the volume, the calculation gives 12.721 A^3/atom. The calculation puts the total moment at 8.0 μB per cell.

Cell: 5.5874 5.5874 7.5246 Å, 98.67 98.67 126.44°
Last column: magnetic moment on the atom in μB.
Atoms (fractional coordinates):
F: 0.4099 0.3573 0.3959  0.00
F: 0.6073 0.1599 0.8959  0.00
F: 0.8065 0.1889 0.2908  -0.01
V: 0.0480 0.3347 0.8620  1.99
O: 0.4034 0.9034 0.5000  -0.18
F: 0.9614 0.0140 0.6041  0.00
V: 0.5847 0.7980 0.3620  1.99
F: 0.7657 0.6481 0.2092  -0.01
F: 0.2640 0.7114 0.1041  0.00
F: 0.8980 0.5157 0.7092  -0.01
O: 0.1534 0.1534 0.0000  -0.18
V: 0.4361 0.2228 0.6380  1.99
F: 0.4389 0.5565 0.7908  -0.01
V: 0.4728 0.1861 0.1380  1.99